Entry 1:
Material: LiCu2Ni
Method: DFT, PBEsol
State: optimized geometry

Properties
energy of formation from the pure elements: -0.076 eV/f.u.
energy above the lowest structure with this stoichiometry: 0.00 kJ/mol of atoms
DOS at the Fermi energy: 1.86 states/eV/cell

abc: 2.5519 4.1012 4.2145
angles: 90.00 90.00 90.00
Element x y z (fractional)
Li1 0.0000 0.0000 0.0000
Cu1 0.5000 0.0000 0.4919
Cu2 0.5000 0.5000 0.8713
Ni1 0.0000 0.5000 0.3785

=====

Entry 2:
Material: KScCd2
Method: DFT, PBEsol
State: optimized geometry

Properties
energy of formation from the pure elements: 0.668 eV/f.u.
energy above the lowest structure with this stoichiometry: 12.70 kJ/mol of atoms
DOS at the Fermi energy: 3.37 states/eV/cell

abc: 5.2552 5.2552 5.2552
angles: 60.00 60.00 60.00
Element x y z (fractional)
K1 0.0000 0.0000 0.0000
Sc1 0.5000 0.5000 0.5000
Cd1 0.2500 0.2500 0.2500
Cd2 0.7500 0.7500 0.7500

=====

Entry 3:
Material: CsCrCl2
Method: DFT, PBEsol
State: optimized geometry

Properties
formation energy without anion corrections: -556 meV/atom
DOS at the Fermi energy: 3.73 states/eV/cell

abc: 5.2980 5.2980 5.2980
angles: 60.00 60.00 60.00
Element x y z (fractional)
Cs1 0.0000 0.0000 0.0000
Cr1 0.5000 0.5000 0.5000
Cl1 0.2500 0.2500 0.2500
Cl2 0.7500 0.7500 0.7500

=====

Entry 4:
Material: Be2BiTe
Method: DFT, PBEsol
State: optimized geometry

Properties
formation energy without anion corrections: 751 meV/atom
DOS at the Fermi energy: 2.16 states/eV/cell

abc: 4.7704 4.7704 4.7704
angles: 60.00 60.00 60.00
Element x y z (fractional)
Be1 0.2500 0.2500 0.2500
Be2 0.7500 0.7500 0.7500
Bi1 0.0000 0.0000 0.0000
Te1 0.5000 0.5000 0.5000

=====

Entry 5:
Material: TaCo2Ni
Method: DFT, PBEsol
State: optimized geometry

Properties
energy of formation from the pure elements: -0.967 eV/f.u.
energy above the lowest structure with this stoichiometry: 6.93 kJ/mol of atoms
DOS at the Fermi energy: 3.04 states/eV/cell

abc: 4.4560 4.4560 4.4560
angles: 132.51 132.51 69.42
Element x y z (fractional)
Ta1 0.0000 0.0000 0.0000
Co1 0.2500 0.7500 0.5000
Co2 0.5000 0.5000 0.0000
Ni1 0.7500 0.2500 0.5000

=====

Entry 6:
Material: TaCoMo
Method: DFT, PBEsol
State: optimized geometry

Properties
energy of formation from the pure elements: 0.327 eV/f.u.
energy above the lowest structure with this stoichiometry: 9.94 kJ/mol of atoms
DOS at the Fermi energy: 3.78 states/eV/cell

abc: 4.9258 4.9258 4.9258
angles: 142.76 142.76 53.68
Element x y z (fractional)
Ta1 0.0000 0.0000 0.0000
Co1 0.6645 0.6645 0.0000
Mo1 0.3215 0.3215 0.0000

=====

Entry 7:
Material: CaAg5
Method: DFT, PBEsol
State: optimized geometry

Properties
energy of formation from the pure elements: -0.549 eV/f.u.
DOS at the Fermi energy: 2.19 states/eV/cell

abc: 6.6116 6.6116 4.1704
angles: 90.00 90.00 142.84
Element x y z (fractional)
Ca1 0.0000 0.0000 0.0000
Ag1 0.1734 0.8266 0.5000
Ag2 0.3283 0.6717 0.0000
Ag3 0.5000 0.5000 0.5000
Ag4 0.6717 0.3283 0.0000
Ag5 0.8266 0.1734 0.5000

=====

Entry 8:
Material: K2YTc
Method: DFT, PBEsol
State: optimized geometry

Properties
energy of formation from the pure elements: 6.435 eV/f.u.
DOS at the Fermi energy: 2.23 states/eV/cell

abc: 5.5707 5.5707 5.5707
angles: 60.00 60.00 60.00
Element x y z (fractional)
K1 0.2500 0.2500 0.2500
K2 0.7500 0.7500 0.7500
Y1 0.0000 0.0000 0.0000
Tc1 0.5000 0.5000 0.5000